[1]
The following is a PBE-GGA calculation of a relaxed structure of Sr2CaAlNi, from the Alexandria database.

```
Sr2CaAlNi
1.0
5.830 0.000 0.000
0.000 5.830 0.000
0.000 0.000 4.768
Sr Ca Al Ni
2 1 1 1
Cartesian
0.000 2.915 0.000
2.915 0.000 0.000
0.000 0.000 2.384
2.915 2.915 2.384
2.915 2.915 0.000
```

magnetic moment = 0.00 Bohr magnetons per cell
formation enthalpy at 0 K = -0.16 eV/f.u.
space group = No. 123


[2]
The following is a PBE-GGA calculation of a relaxed structure of Na2AcPuS4, from the Alexandria database.

```
Na2AcPuS4
1.0
7.115 0.000 0.000
0.000 4.213 0.000
-2.535 0.000 6.868
Na Ac Pu S
2 1 1 4
Cartesian
0.000 0.000 0.000
-1.268 2.106 3.434
2.290 0.000 3.434
3.558 2.106 0.000
1.251 2.106 1.641
-0.019 0.000 5.303
4.598 0.000 1.565
3.329 2.106 5.227
```

magnetic moment = 5.00 Bohr magnetons per cell
ΔE_f (raw) = -1.65 eV per atom
space group = No. 10


[3]
The following is a PBE-GGA calculation of a relaxed structure of AlGaCo2Se, from the Alexandria database.

```
AlGaCo2Se
1.0
4.475 0.000 0.000
0.000 4.475 0.000
0.000 0.000 4.917
Al Ga Co Se
1 1 2 1
Cartesian
0.000 0.000 0.000
2.237 2.237 2.459
0.000 2.237 2.459
2.237 0.000 2.459
2.237 2.237 0.000
```

magnetic moment = 2.82 Bohr magnetons per cell
ΔE_f (raw) = 0.94 eV per atom
space group = No. 123


[4]
The following is a PBE-GGA calculation of a relaxed structure of Ce5Zn4In, from the Alexandria database.

```
Ce5Zn4In
1.0
3.155 0.000 0.000
0.000 3.155 0.000
0.000 0.000 22.761
Ce Zn In
5 4 1
Cartesian
0.000 0.000 0.000
0.000 0.000 4.432
0.000 0.000 8.841
0.000 0.000 13.920
0.000 0.000 18.328
1.578 1.578 2.216
1.578 1.578 6.645
1.578 1.578 16.116
1.578 1.578 20.545
1.578 1.578 11.380
```

magnetic moment = 0.28 Bohr magnetons per cell
formation enthalpy at 0 K = -2.30 eV/f.u.
space group = No. 123


[5]
The following is a PBE-GGA calculation of a relaxed structure of LiGaRu, from the Alexandria database.

```
LiGaRu
1.0
2.586 -4.134 0.000
2.586 4.134 0.000
-2.577 0.000 4.078
Li Ga Ru
2 2 2
Cartesian
0.015 0.000 1.194
2.580 0.000 2.884
1.298 2.076 2.039
1.298 -2.076 2.039
2.586 1.178 0.000
2.586 -1.178 0.000
```

magnetic moment = 0.00 Bohr magnetons per cell
formation enthalpy at 0 K = -0.55 eV/f.u.
space group = No. 12


[6]
The following is a PBE-GGA calculation of a relaxed structure of MnGa2Tc2, from the Alexandria database.

```
MnGa2Tc2
1.0
-1.853 1.853 6.018
1.853 -1.853 6.018
1.853 1.853 -6.018
Mn Ga Tc
1 2 2
Cartesian
0.000 0.000 0.000
0.000 0.000 4.827
0.000 0.000 7.208
1.853 0.000 3.009
0.000 1.853 3.009
```

magnetic moment = 5.09 Bohr magnetons per cell
formation enthalpy at 0 K = 1.64 eV/f.u.
space group = No. 139


[7]
The following is a PBE-GGA calculation of a relaxed structure of NpVCr, from the Alexandria database.

```
NpVCr
1.0
8.011 0.000 0.000
0.000 4.520 0.000
-0.558 0.000 4.936
Np V Cr
4 4 4
Cartesian
1.569 0.827 2.079
1.290 1.433 4.547
6.163 3.087 0.389
5.884 3.693 2.857
3.278 3.334 0.778
2.999 3.446 3.246
4.453 1.074 1.690
4.174 1.186 4.157
0.741 2.906 1.893
0.462 3.873 4.360
6.991 0.646 0.575
6.712 1.613 3.043
```

magnetic moment = 0.00 Bohr magnetons per cell
formation enthalpy at 0 K = 0.79 eV/f.u.
space group = No. 14


[8]
The following is a PBE-GGA calculation of a relaxed structure of Pr8TePt3I4, from the Alexandria database.

```
Pr8TePt3I4
1.0
4.412 2.547 7.952
-4.412 2.547 7.952
0.000 -5.095 7.952
Pr Te Pt I
8 1 3 4
Cartesian
-2.360 -1.363 13.507
0.000 0.000 5.423
0.000 -2.726 10.350
-2.360 1.363 10.350
2.360 -1.363 13.507
0.000 2.726 13.507
0.000 0.000 18.434
2.360 1.363 10.350
0.000 0.000 11.928
-4.412 0.000 11.928
-2.206 1.274 3.976
2.206 1.274 3.976
0.000 0.000 0.000
-2.206 -1.274 7.952
-2.206 1.274 15.904
0.000 2.547 7.952
```

magnetic moment = 0.00 Bohr magnetons per cell
ΔE_f (raw) = -1.09 eV per atom
space group = No. 166